{"formula": "TaAsSeN2", "functional": "PBE", "state": "optimized geometry", "m_tot_mub_per_atom": 0.089, "raw_formation_energy_kj_per_mol_atoms": 136, "dft_energy_ev_per_atom": -5.919, "e_above_lowest_polymorph_ev_per_atom": 1.0219, "volume_a3_per_atom": 14.399, "dos_ef_per_ev_atom": 0.75, "cell": [[-0.120, -2.505, -2.941], [0.660, -2.913, 2.454], [-4.745, -0.531, 0.646]], "species": ["As", "N", "N", "Se", "Ta"], "fractional_positions": [[0.000, 0.000, 0.000], [0.000, 0.500, 0.000], [0.500, 0.000, 0.000], [0.000, 0.000, 0.500], [0.500, 0.500, 0.500]]}